This record from Alexandria describes a PBEsol-optimized structure of TlP2Rh2. The functional is SCAN.

abc: 3.8582 3.8582 12.6727
angles: 90.00 90.00 90.00
Fractional positions:
Tl (0.0000, 0.0000, 0.0000)
Tl (0.5000, 0.5000, 0.5000)
P (0.0000, 0.0000, 0.3515)
P (0.0000, 0.0000, 0.6485)
P (0.5000, 0.5000, 0.1485)
P (0.5000, 0.5000, 0.8515)
Rh (0.0000, 0.5000, 0.2500)
Rh (0.0000, 0.5000, 0.7500)
Rh (0.5000, 0.0000, 0.2500)
Rh (0.5000, 0.0000, 0.7500)

Fermi-level density of states = 1.23 states/eV/f.u.
energy relative to the elements = -0.538 eV/atom



This record from Alexandria describes a PBEsol-optimized structure of U6P13Rh20. The functional is SCAN.

abc: 13.1930 13.1930 3.8163
angles: 90.00 90.00 120.00
Fractional positions:
U (0.1909, 0.4727, 0.2496)
U (0.2818, 0.8091, 0.2496)
U (0.4727, 0.2818, 0.7504)
U (0.5273, 0.7182, 0.2496)
U (0.7182, 0.1909, 0.7504)
U (0.8091, 0.5273, 0.7504)
P (0.0000, 0.0000, 0.0000)
P (0.0577, 0.2866, 0.7472)
P (0.1384, 0.6113, 0.7491)
P (0.2290, 0.9423, 0.7472)
P (0.2866, 0.2290, 0.2528)
P (0.3887, 0.5271, 0.7491)
P (0.4729, 0.8616, 0.7491)
P (0.5271, 0.1384, 0.2509)
P (0.6113, 0.4729, 0.2509)
P (0.7134, 0.7710, 0.7472)
P (0.7710, 0.0577, 0.2528)
P (0.8616, 0.3887, 0.2509)
P (0.9423, 0.7134, 0.2528)
Rh (0.0199, 0.5819, 0.2493)
Rh (0.0762, 0.7471, 0.7488)
Rh (0.0908, 0.9047, 0.2537)
Rh (0.0953, 0.1861, 0.2537)
Rh (0.1861, 0.0908, 0.7463)
Rh (0.2529, 0.3291, 0.7488)
Rh (0.3291, 0.0762, 0.2512)
Rh (0.3333, 0.6667, 0.7494)
Rh (0.4181, 0.4380, 0.2493)
Rh (0.4380, 0.0199, 0.7507)
Rh (0.5620, 0.9801, 0.2493)
Rh (0.5819, 0.5620, 0.7507)
Rh (0.6667, 0.3333, 0.2506)
Rh (0.6709, 0.9238, 0.7488)
Rh (0.7471, 0.6709, 0.2512)
Rh (0.8139, 0.9092, 0.2537)
Rh (0.9047, 0.8139, 0.7463)
Rh (0.9092, 0.0953, 0.7463)
Rh (0.9238, 0.2529, 0.2512)
Rh (0.9801, 0.4181, 0.7507)

Fermi-level density of states = 39.26 states/eV/f.u.
energy relative to the elements = -0.883 eV/atom



This record from Alexandria describes a PBEsol-optimized structure of PRh3W. The functional is SCAN.

abc: 4.6152 4.6152 4.6152
angles: 90.00 90.00 90.00
Fractional positions:
P (0.0000, 0.0000, 0.0000)
Rh (0.0000, 0.5000, 0.5000)
Rh (0.5000, 0.0000, 0.5000)
Rh (0.5000, 0.5000, 0.0000)
W (0.5000, 0.5000, 0.5000)

Fermi-level density of states = 3.37 states/eV/f.u.
energy relative to the elements = 1.485 eV/atom



This record from Alexandria describes a PBEsol-optimized structure of P2RhW. The functional is SCAN.

abc: 2.9244 2.9244 21.9986
angles: 90.00 90.00 120.00
Fractional positions:
P (0.0000, 0.0000, 0.2490)
P (0.0000, 0.0000, 0.7510)
P (0.3333, 0.6667, 0.4177)
P (0.3333, 0.6667, 0.9157)
P (0.6667, 0.3333, 0.0843)
P (0.6667, 0.3333, 0.5823)
Rh (0.0000, 0.0000, 0.5000)
Rh (0.3333, 0.6667, 0.1667)
Rh (0.6667, 0.3333, 0.8333)
W (0.0000, 0.0000, 0.0000)
W (0.3333, 0.6667, 0.6667)
W (0.6667, 0.3333, 0.3333)

Fermi-level density of states = 2.16 states/eV/f.u.
energy relative to the elements = -0.085 eV/atom



This record from Alexandria describes a PBEsol-optimized structure of P2RhW. The functional is SCAN.

abc: 4.1361 4.1361 3.0327
angles: 90.00 90.00 90.00
Fractional positions:
P (0.0000, 0.5000, 0.0000)
P (0.5000, 0.0000, 0.0000)
Rh (0.0000, 0.0000, 0.5000)
W (0.5000, 0.5000, 0.5000)

Fermi-level density of states = 2.08 states/eV/f.u.
energy relative to the elements = -0.148 eV/atom



This record from Alexandria describes a PBEsol-optimized structure of PRhW2. The functional is SCAN.

abc: 3.7373 3.7373 8.0713
angles: 90.00 90.00 90.00
Fractional positions:
P (0.0000, 0.0000, 0.0000)
P (0.5000, 0.5000, 0.5000)
Rh (0.0000, 0.0000, 0.5000)
Rh (0.5000, 0.5000, 0.0000)
W (0.0000, 0.5000, 0.2500)
W (0.0000, 0.5000, 0.7500)
W (0.5000, 0.0000, 0.2500)
W (0.5000, 0.0000, 0.7500)

Fermi-level density of states = 3.00 states/eV/f.u.
energy relative to the elements = 0.214 eV/atom



This record from Alexandria describes a PBEsol-optimized structure of PRhW2. The functional is SCAN.

abc: 5.2873 7.9847 2.7803
angles: 90.00 103.68 90.00
Fractional positions:
P (0.0000, 0.0000, 0.0000)
P (0.5000, 0.5000, 0.0000)
Rh (0.0000, 0.5000, 0.0000)
Rh (0.5000, 0.0000, 0.0000)
W (0.2500, 0.2500, 0.5000)
W (0.2500, 0.7500, 0.5000)
W (0.7500, 0.2500, 0.5000)
W (0.7500, 0.7500, 0.5000)

Fermi-level density of states = 2.90 states/eV/f.u.
energy relative to the elements = 0.228 eV/atom



This record from Alexandria describes a PBEsol-optimized structure of ZrPRhW2. The functional is SCAN.

abc: 4.4581 4.4581 4.3064
angles: 90.00 90.00 90.00
Fractional positions:
Zr (0.0000, 0.0000, 0.0000)
P (0.5000, 0.5000, 0.5000)
Rh (0.5000, 0.5000, 0.0000)
W (0.0000, 0.5000, 0.5000)
W (0.5000, 0.0000, 0.5000)

Fermi-level density of states = 2.61 states/eV/f.u.
energy relative to the elements = 0.137 eV/atom



This record from Alexandria describes a PBEsol-optimized structure of YP2Rh. The functional is SCAN.

abc: 3.4493 3.4493 5.6616
angles: 90.00 90.00 90.00
Fractional positions:
Y (0.0000, 0.0000, 0.0000)
P (0.0000, 0.0000, 0.5010)
P (0.5000, 0.5000, 0.2093)
Rh (0.5000, 0.5000, 0.6230)

Fermi-level density of states = 2.52 states/eV/f.u.
energy relative to the elements = -0.657 eV/atom
energy above the most stable polymorph in this dataset = 218 meV/atom



This record from Alexandria describes a PBEsol-optimized structure of Y2P7Rh12. The functional is SCAN.

abc: 9.4711 9.4711 3.8089
angles: 90.00 90.00 120.00
Fractional positions:
Y (0.3333, 0.6667, 0.2498)
Y (0.6667, 0.3333, 0.7502)
P (0.0000, 0.0000, 0.5000)
P (0.1189, 0.4058, 0.7537)
P (0.2869, 0.8811, 0.7537)
P (0.4058, 0.2869, 0.2463)
P (0.5942, 0.7131, 0.7537)
P (0.7131, 0.1189, 0.2463)
P (0.8811, 0.5942, 0.2463)
Rh (0.0665, 0.6184, 0.7497)
Rh (0.1106, 0.8495, 0.2484)
Rh (0.1505, 0.2611, 0.2484)
Rh (0.2611, 0.1106, 0.7516)
Rh (0.3816, 0.4480, 0.7497)
Rh (0.4480, 0.0665, 0.2503)
Rh (0.5520, 0.9335, 0.7497)
Rh (0.6184, 0.5520, 0.2503)
Rh (0.7389, 0.8894, 0.2484)
Rh (0.8495, 0.7389, 0.7516)
Rh (0.8894, 0.1505, 0.7516)
Rh (0.9335, 0.3816, 0.2503)

Fermi-level density of states = 13.72 states/eV/f.u.
energy relative to the elements = -1.044 eV/atom



This record from Alexandria describes a PBEsol-optimized structure of YP2Rh. The functional is SCAN.

abc: 4.3778 4.3778 15.6957
angles: 90.00 90.00 90.00
Fractional positions:
Y (0.0000, 0.0000, 0.0000)
Y (0.0000, 0.5000, 0.2500)
Y (0.5000, 0.0000, 0.7500)
Y (0.5000, 0.5000, 0.5000)
P (0.1135, 0.2500, 0.6250)
P (0.2500, 0.6135, 0.8750)
P (0.2500, 0.8865, 0.3750)
P (0.3865, 0.2500, 0.1250)
P (0.6135, 0.7500, 0.1250)
P (0.7500, 0.1135, 0.3750)
P (0.7500, 0.3865, 0.8750)
P (0.8865, 0.7500, 0.6250)
Rh (0.0000, 0.0000, 0.5000)
Rh (0.0000, 0.5000, 0.7500)
Rh (0.5000, 0.0000, 0.2500)
Rh (0.5000, 0.5000, 0.0000)

Fermi-level density of states = 1.53 states/eV/f.u.
energy relative to the elements = -0.831 eV/atom
energy above the most stable polymorph in this dataset = 44 meV/atom



This record from Alexandria describes a PBEsol-optimized structure of YP2Rh. The functional is SCAN.

abc: 3.4422 3.5085 11.2254
angles: 90.00 90.00 90.00
Fractional positions:
Y (0.0000, 0.0000, 0.0000)
Y (0.5000, 0.5000, 0.5000)
P (0.0000, 0.0000, 0.3955)
P (0.0000, 0.5000, 0.1911)
P (0.5000, 0.0000, 0.6911)
P (0.5000, 0.5000, 0.8955)
Rh (0.0000, 0.5000, 0.7542)
Rh (0.5000, 0.0000, 0.2542)

Fermi-level density of states = 0.76 states/eV/f.u.
energy relative to the elements = -0.875 eV/atom
energy above the most stable polymorph in this dataset = 0 meV/atom